# La2PmSn3

A relaxed structure of La2PmSn3 (PBE, the Alexandria database).

Unit cell a=6.355 b=16.008 c=7.744 alpha=90.00 beta=104.13 gamma=90.00
Space group C2/c (No. 15)
Unique sites:
La (0.000, 0.011, 0.250) [4 per cell]
La (0.000, 0.328, 0.250) [4 per cell]
Pm (0.000, 0.340, 0.750) [4 per cell]
Sn (0.000, 0.500, 0.000) [4 per cell]
Sn (0.015, 0.169, 0.978) [8 per cell]

Formation energy from the elements in meV per atom: -660

***

# Rb3Ce3TaSe8

A relaxed structure of Rb3Ce3TaSe8 (PBE, the Alexandria database).

Unit cell a=8.4002 b=8.4002 c=24.6469 alpha=90.00 beta=90.00 gamma=120.00
Space group R-3m (No. 166, hexagonal axes)
Unique sites:
Rb (0.0000, 0.5000, 0.0000) [9 per cell]
Ce (0.0000, 0.5000, 0.5000) [9 per cell]
Ta (0.0000, 0.0000, 0.5000) [3 per cell]
Se (0.0000, 0.0000, 0.2345) [6 per cell]
Se (0.0287, 0.5143, 0.2288) [18 per cell]

Formation energy from raw total energies in meV per atom: -1441

***

Number 1: Fermi-level density of states 6.29 states/eV/f.u.. Number 2: Fermi-level density of states 21.39 states/eV/f.u..